<A>
Density functional theory data (PBE) for a relaxed ScUFe4 crystal.

Computed properties:
The calculation puts the density of states at the Fermi level at 0.9000 states/eV/atom. Its space-group type is C2/m.

Cell lengths 7.1403, 7.1403, 4.8430 Å; angles 106.60, 106.60, 49.34 degrees
Closest atoms and distances in Å follow each position.
Atoms (fractional coordinates):
1 Sc 0.1973 0.1973 0.1228  7 Fe 2.62-2.89, 1 U 2.91
2 Sc 0.8027 0.8027 0.8772  7 Fe 2.62-2.89, 1 U 2.91
3 U 0.4301 0.4301 0.2185  4 Fe 2.29-2.41
4 U 0.5699 0.5699 0.7815  4 Fe 2.29-2.41
5 Fe 0.0825 0.6954 0.4492  1 U 2.29, 2 Fe 2.31-2.53
6 Fe 0.1976 0.8024 0.0000  3 Fe 2.36-2.60, 2 U 2.41
7 Fe 0.3046 0.9175 0.5508  1 U 2.29, 2 Fe 2.31-2.53
8 Fe 0.3081 0.3081 0.6781  4 Fe 2.53-2.69, 1 U 2.60, 1 Sc 2.62
9 Fe 0.6919 0.6919 0.3219  4 Fe 2.53-2.69, 1 U 2.60, 1 Sc 2.62
10 Fe 0.6954 0.0825 0.4492  1 U 2.29, 2 Fe 2.31-2.53
11 Fe 0.8024 0.1976 0.0000  3 Fe 2.36-2.60, 2 U 2.41
12 Fe 0.9175 0.3046 0.5508  1 U 2.29, 2 Fe 2.31-2.53

---

<B>
Density functional theory data (PBE) for a relaxed ScUFe4 crystal.

Computed properties:
The calculation puts the density of states at the Fermi level at 2.0273 states/eV/atom. Its space-group type is F-43m.

Cell lengths 4.9706, 4.9706, 4.9706 Å; angles 60.00, 60.00, 60.00 degrees
Closest atoms and distances in Å follow each position.
Atoms (fractional coordinates):
1 Sc 0.0000 0.0000 0.0000  12 Fe 2.91, 4 U 3.04
2 U 0.2500 0.2500 0.2500  12 Fe 2.92, 4 Sc 3.04
3 Fe 0.1236 0.6255 0.6255  6 Fe 2.48-2.49
4 Fe 0.6255 0.1236 0.6255  6 Fe 2.48-2.49
5 Fe 0.6255 0.6255 0.1236  6 Fe 2.48-2.49
6 Fe 0.6255 0.6255 0.6255  6 Fe 2.48-2.49

---

Stability verdict: <B>, ahead by 0.187 eV/atom

---

<A>
Density functional theory data (PBE) for a relaxed ScV2Fe crystal.

Computed properties:
The calculation puts the density of states at the Fermi level at 1.2859 states/eV/atom. Its space-group type is I-42d.

Cell lengths 5.5379, 5.5379, 5.5379 Å; angles 103.04, 103.04, 123.28 degrees
Closest atoms and distances in Å follow each position.
Atoms (fractional coordinates):
1 Sc 0.0000 0.0000 0.0000  2 Fe 2.63, 8 V 2.83-2.93
2 Sc 0.7500 0.2500 0.5000  2 Fe 2.63, 8 V 2.83-2.93
3 V 0.1857 0.6250 0.0607  2 Fe 2.26
4 V 0.3750 0.4357 0.5607  2 Fe 2.26
5 V 0.5643 0.1250 0.9393  2 Fe 2.26
6 V 0.8750 0.8143 0.4393  2 Fe 2.26
7 Fe 0.2500 0.7500 0.5000  4 V 2.26
8 Fe 0.5000 0.5000 0.0000  4 V 2.26

---

<B>
Density functional theory data (PBE) for a relaxed ScV2Fe crystal.

Computed properties:
The calculation puts the density of states at the Fermi level at 1.5611 states/eV/atom. Its space-group type is Fm-3m.

Cell lengths 4.2999, 4.2999, 4.2999 Å; angles 60.00, 60.00, 60.00 degrees
Closest atoms and distances in Å follow each position.
Atoms (fractional coordinates):
1 Sc 0.0000 0.0000 0.0000  8 V 2.63
2 V 0.2500 0.2500 0.2500  4 Fe 2.63, 4 Sc 2.63
3 V 0.7500 0.7500 0.7500  4 Fe 2.63, 4 Sc 2.63
4 Fe 0.5000 0.5000 0.5000  8 V 2.63

---

Stability verdict: <B>, ahead by 0.094 eV/atom

---

<A>
Density functional theory data (PBE) for a relaxed ScVFe crystal.

Computed properties:
The calculation puts the density of states at the Fermi level at 1.1149 states/eV/atom. Its space-group type is Fmmm.

Cell lengths 5.9255, 5.2138, 4.7021 Å; angles 73.19, 57.38, 49.43 degrees
Closest atoms and distances in Å follow each position.
Atoms (fractional coordinates):
1 Sc 0.1803 0.8197 0.1803  4 Fe 2.66, 3 Sc 2.79-2.87, 2 V 2.96
2 Sc 0.8197 0.1803 0.8197  4 Fe 2.66, 3 Sc 2.79-2.87, 2 V 2.96
3 V 0.3193 0.3193 0.6807  4 Fe 2.43
4 V 0.6807 0.6807 0.3193  4 Fe 2.43
5 Fe 0.2500 0.2500 0.2500  4 V 2.43, 4 Sc 2.66, 2 Fe 2.66
6 Fe 0.7500 0.7500 0.7500  4 V 2.43, 4 Sc 2.66, 2 Fe 2.66

---

<B>
Density functional theory data (PBE) for a relaxed ScVFe crystal.

Computed properties:
The calculation puts the density of states at the Fermi level at 0.8786 states/eV/atom. Its space-group type is Imma.

Cell lengths 4.9983, 4.9983, 4.9983 Å; angles 118.20, 117.85, 93.46 degrees
Closest atoms and distances in Å follow each position.
Atoms (fractional coordinates):
1 Sc 0.3812 0.1312 0.2500  6 Fe 2.84-3.01, 6 V 2.91-2.99, 4 Sc 3.04-3.15
2 Sc 0.6188 0.8688 0.7500  6 Fe 2.84-3.01, 6 V 2.91-2.99, 4 Sc 3.04-3.15
3 V 0.0000 0.0000 0.5000  4 Fe 2.50, 2 V 2.57
4 V 0.0000 0.5000 0.0000  4 Fe 2.50, 2 V 2.57
5 Fe 0.0000 0.5000 0.5000  4 V 2.50, 2 Fe 2.58
6 Fe 0.5000 0.5000 0.0000  4 V 2.50, 2 Fe 2.58

---

Stability verdict: <B>, ahead by 0.155 eV/atom

---

<A>
Density functional theory data (PBE) for a relaxed ScVFe crystal.

Computed properties:
The calculation puts the density of states at the Fermi level at 1.4111 states/eV/atom. Its space-group type is F-43m.

Cell lengths 4.1651, 4.1651, 4.1651 Å; angles 60.00, 60.00, 60.00 degrees
Closest atoms and distances in Å follow each position.
Atoms (fractional coordinates):
1 Sc 0.0000 0.0000 0.0000  4 V 2.55
2 V 0.7500 0.7500 0.7500  4 Fe 2.55, 4 Sc 2.55
3 Fe 0.5000 0.5000 0.5000  4 V 2.55

---

<B>
Density functional theory data (PBE) for a relaxed ScVFe crystal.

Computed properties:
The calculation puts the density of states at the Fermi level at 1.0755 states/eV/atom. Its space-group type is I4mm.

Cell lengths 5.3844, 5.3844, 5.3844 Å; angles 147.73, 147.73, 46.29 degrees
Closest atoms and distances in Å follow each position.
Atoms (fractional coordinates):
1 Sc 0.0000 0.0000 0.0000  4 Fe 2.78, 5 V 2.88-3.00, 4 Sc 2.99
2 V 0.3034 0.3034 0.0000  4 Fe 2.44
3 Fe 0.6813 0.6813 0.0000  4 V 2.44

---

Stability verdict: <B>, ahead by 0.663 eV/atom

---

<A>
Density functional theory data (PBE) for a relaxed ScFeW2 crystal.

Computed properties:
The calculation puts the density of states at the Fermi level at 1.0506 states/eV/atom. Its space-group type is R3m.

Cell lengths 9.0403, 9.0403, 9.0403 Å; angles 18.48, 18.48, 18.48 degrees
Closest atoms and distances in Å follow each position.
Atoms (fractional coordinates):
1 Sc 0.0000 0.0000 0.0000  3 Fe 2.75, 6 Sc 2.90, 3 W 3.00
2 Fe 0.2516 0.2516 0.2516  3 W 2.52, 3 Sc 2.75
3 W 0.5144 0.5144 0.5144  3 Fe 2.52
4 W 0.7599 0.7599 0.7599  9 W 2.88-2.90, 3 Sc 3.00

---

<B>
Density functional theory data (PBE) for a relaxed ScFeW2 crystal.

Computed properties:
The calculation puts the density of states at the Fermi level at 0.7182 states/eV/atom. Its space-group type is Immm.

Cell lengths 5.3365, 5.3365, 5.3365 Å; angles 146.18, 131.31, 60.60 degrees
Closest atoms and distances in Å follow each position.
Atoms (fractional coordinates):
1 Sc 0.0000 0.0000 0.0000  4 Fe 2.69, 4 W 2.89
2 Fe 0.5000 0.5000 0.0000  4 W 2.67, 4 Sc 2.69
3 W 0.2649 0.7649 0.5000  2 Fe 2.67, 4 W 2.71, 2 Sc 2.89
4 W 0.7351 0.2351 0.5000  2 Fe 2.67, 4 W 2.71, 2 Sc 2.89

---

<C>
Density functional theory data (PBE) for a relaxed ScFeW2 crystal.

Computed properties:
The calculation puts the density of states at the Fermi level at 0.9357 states/eV/atom. Its space-group type is P4mm.

Cell lengths 3.1455, 3.1455, 6.4443 Å; angles 90.00, 90.00, 90.00 degrees
Closest atoms and distances in Å follow each position.
Atoms (fractional coordinates):
1 Sc 0.0000 0.0000 0.0000  4 Fe 2.80, 5 W 2.88-3.09
2 Fe 0.5000 0.5000 0.7356  5 W 2.62-2.92, 4 Sc 2.80
3 W 0.0000 0.0000 0.5200  4 Fe 2.62, 4 W 2.70
4 W 0.5000 0.5000 0.2827  4 W 2.70, 4 Sc 2.88, 1 Fe 2.92

---

Stability verdict: <B>, ahead by 0.025 eV/atom

---

<A>
Density functional theory data (PBE) for a relaxed ScFeW2 crystal.

Computed properties:
The calculation puts the density of states at the Fermi level at 0.9021 states/eV/atom. Its space-group type is Cmm2.

Cell lengths 2.7583, 2.7583, 8.8051 Å; angles 90.00, 90.00, 107.97 degrees
Closest atoms and distances in Å follow each position.
Atoms (fractional coordinates):
1 Sc 0.0000 0.0000 0.0000  2 Fe 2.69, 4 Sc 2.76, 2 W 2.94
2 Fe 0.5000 0.5000 0.7556  2 W 2.54, 2 Sc 2.69, 4 Fe 2.76
3 W 0.0000 0.0000 0.5329  2 Fe 2.54, 6 W 2.76
4 W 0.5000 0.5000 0.2791  6 W 2.76, 2 Sc 2.94

---

<B>
Density functional theory data (PBE) for a relaxed ScFeW2 crystal.

Computed properties:
The calculation puts the density of states at the Fermi level at 0.8252 states/eV/atom. Its space-group type is Fm-3m.

Cell lengths 4.4055, 4.4055, 4.4055 Å; angles 60.00, 60.00, 60.00 degrees
Closest atoms and distances in Å follow each position.
Atoms (fractional coordinates):
1 Sc 0.0000 0.0000 0.0000  8 W 2.70
2 Fe 0.5000 0.5000 0.5000  8 W 2.70
3 W 0.2500 0.2500 0.2500  4 Fe 2.70, 4 Sc 2.70
4 W 0.7500 0.7500 0.7500  4 Sc 2.70, 4 Fe 2.70

---

<C>
Density functional theory data (PBE) for a relaxed ScFeW2 crystal.

Computed properties:
The calculation puts the density of states at the Fermi level at 0.9520 states/eV/atom. Its space-group type is P2/m.

Cell lengths 2.7540, 4.6038, 5.0929 Å; angles 90.00, 100.52, 90.00 degrees
Closest atoms and distances in Å follow each position.
Atoms (fractional coordinates):
1 Sc 0.0000 0.0000 0.0000  2 Fe 2.66, 2 Sc 2.75, 4 W 2.81
2 Fe 0.5000 0.0000 0.5000  2 Sc 2.66, 4 W 2.75, 2 Fe 2.75
3 W 0.2768 0.5000 0.7469  4 W 2.65-2.75, 2 Fe 2.75, 2 Sc 2.81
4 W 0.7232 0.5000 0.2531  4 W 2.65-2.75, 2 Fe 2.75, 2 Sc 2.81

---

Stability verdict: <A>, ahead by 0.066 eV/atom